Computed, not measured: a relaxed structure of Dy4Ho2Ge3O2 at the PBE level of DFT.

Energy relative to the elements, uncorrected: -1562 meV per atom

Structure (CIF):
```
data_Dy4Ho2Ge3O2
_cell_length_a 4.5412
_cell_length_b 4.5412
_cell_length_c 23.5286
_cell_angle_alpha 90.00
_cell_angle_beta 90.00
_cell_angle_gamma 90.00
_symmetry_space_group_name_H-M 'I 4/m m m'
_symmetry_Int_Tables_number 139
_symmetry_space_group_name_Hall '-I 4 2'
loop_
_atom_site_label
_atom_site_fract_x
_atom_site_fract_y
_atom_site_fract_z
Dy1 0.0000 0.5000 0.0809
Ho1 0.0000 0.0000 0.1980
Ge1 0.0000 0.0000 0.3235
Ge2 0.0000 0.0000 0.5000
O1 0.0000 0.0000 0.0997
```

Computed, not measured: a relaxed structure of K2CaCu2Cl7 at the PBE level of DFT.

Energy relative to the elements, uncorrected: -1361 meV per atom

Structure (CIF):
```
data_K2CaCu2Cl7
_cell_length_a 6.8840
_cell_length_b 6.8845
_cell_length_c 12.8854
_cell_angle_alpha 90.00
_cell_angle_beta 105.46
_cell_angle_gamma 90.00
_symmetry_space_group_name_H-M 'C 1 2/m 1'
_symmetry_Int_Tables_number 12
loop_
_symmetry_equiv_pos_as_xyz
'x,y,z'
'-x,-y,-z'
'-x,y,-z'
'x,-y,z'
'x+1/2,y+1/2,z'
'-x+1/2,-y+1/2,-z'
'-x+1/2,y+1/2,-z'
'x+1/2,-y+1/2,z'
loop_
_atom_site_label
_atom_site_fract_x
_atom_site_fract_y
_atom_site_fract_z
K1 0.1795 0.0000 0.3604
Ca1 0.0000 0.0000 0.0000
Cu1 0.0962 0.5000 0.1948
Cl1 0.0000 0.5000 0.0000
Cl2 0.1672 0.2502 0.8324
Cl3 0.1925 0.5000 0.3867
```

Computed, not measured: a relaxed structure of SrWS3 at the PBE level of DFT.

Polymorph energy (0 for the lowest one): 0.00 eV/f.u.
Energy relative to the elements, uncorrected: -895 meV per atom

Structure (CIF):
```
data_SrWS3
_cell_length_a 4.7597
_cell_length_b 4.7597
_cell_length_c 4.7597
_cell_angle_alpha 90.00
_cell_angle_beta 90.00
_cell_angle_gamma 90.00
_symmetry_space_group_name_H-M 'P m -3 m'
_symmetry_Int_Tables_number 221
_symmetry_space_group_name_Hall '-P 4 2 3'
loop_
_atom_site_label
_atom_site_fract_x
_atom_site_fract_y
_atom_site_fract_z
Sr1 0.0000 0.0000 0.0000
W1 0.5000 0.5000 0.5000
S1 0.0000 0.5000 0.5000
```

Computed, not measured: a relaxed structure of AlSb2Br at the PBE level of DFT.

Polymorph energy (0 for the lowest one): 0.00 eV/f.u.
Energy relative to the elements, uncorrected: -199 meV per atom

Structure (CIF):
```
data_AlSb2Br
_cell_length_a 5.1516
_cell_length_b 10.3460
_cell_length_c 4.3549
_cell_angle_alpha 90.00
_cell_angle_beta 90.00
_cell_angle_gamma 90.00
_symmetry_space_group_name_H-M 'C m m m'
_symmetry_Int_Tables_number 65
_symmetry_space_group_name_Hall '-C 2 2'
loop_
_atom_site_label
_atom_site_fract_x
_atom_site_fract_y
_atom_site_fract_z
Al1 0.0000 0.0000 0.0000
Sb1 0.0000 0.1755 0.5000
Br1 0.0000 0.5000 0.0000
```

Computed, not measured: a relaxed structure of CaNdSbAu at the PBE level of DFT.

Energy relative to the elements, uncorrected: -827 meV per atom

Structure (CIF):
```
data_CaNdSbAu
_cell_length_a 7.5613
_cell_length_b 7.5613
_cell_length_c 7.5613
_cell_angle_alpha 90.00
_cell_angle_beta 90.00
_cell_angle_gamma 90.00
_symmetry_space_group_name_H-M 'F -4 3 m'
_symmetry_Int_Tables_number 216
_symmetry_space_group_name_Hall 'F -4 2 3'
loop_
_atom_site_label
_atom_site_fract_x
_atom_site_fract_y
_atom_site_fract_z
Ca1 0.0000 0.0000 0.0000
Nd1 0.0000 0.0000 0.5000
Sb1 0.2500 0.2500 0.2500
Au1 0.2500 0.2500 0.7500
```

Computed, not measured: a relaxed structure of PaFe12Ge6 at the PBE level of DFT.

Energy of formation from the pure elements: 0.03 eV/atom

Structure (CIF):
```
data_PaFe12Ge6
_cell_length_a 10.6718
_cell_length_b 10.6718
_cell_length_c 8.1487
_cell_angle_alpha 90.00
_cell_angle_beta 90.00
_cell_angle_gamma 120.00
_symmetry_space_group_name_H-M 'R -3 m'
_symmetry_Int_Tables_number 166
_symmetry_space_group_name_Hall '-R 3 2"'
loop_
_atom_site_label
_atom_site_fract_x
_atom_site_fract_y
_atom_site_fract_z
Pa1 0.0000 0.0000 0.0000
Fe1 0.0000 0.3877 0.5000
Fe2 0.0844 0.1688 0.3143
Ge1 0.0329 0.5164 0.2510
```